ZrWO2: relaxed, GGA+U.

a b c (Å): 7.068 7.068 7.068
angles (deg): 24.43 24.43 24.43
Fractional coordinates of all 4 atoms:
Zr (0.000, 0.000, 0.000)
W (0.500, 0.500, 0.500)
O (0.403, 0.403, 0.403)
O (0.597, 0.597, 0.597)

Summary:
VASP energy	-7.8897	eV/atom
N(E_F)	1.77	states/eV/f.u.